DFT (PBE) results for crystalline Dy2GeRu at its relaxed geometry.

The total magnetic moment comes out at 0.00 μB per formula unit. As for the formation energy from the elements: -536 meV per atom. Its space-group type is P4/mmm.

abc: 3.4690 3.4690 7.0943
angles: 90.00 90.00 90.00
Sites, in units of the cell vectors:
Ru1 0.5000 0.5000 0.0000
Ge1 0.5000 0.5000 0.5000
Dy1 0.0000 0.0000 0.7663
Dy2 0.0000 0.0000 0.2337